# 1
# NiCl2F2

A geometry-optimized NiCl2F2 structure (PBE with a Hubbard U, the Alexandria database).

Unit cell a=3.291 b=3.291 c=16.097 alpha=90.00 beta=90.00 gamma=90.00
Space group I4/mmm (No. 139)
Inequivalent atoms, fractional coordinates:
Ni 0.000 0.000 0.000 (multiplicity 2)
Cl 0.000 0.500 0.250 (multiplicity 4)
F 0.000 0.000 0.428 (multiplicity 4)

Calculated values
ΔE to the lowest computed polymorph	1.042	eV/atom
DOS at the Fermi energy	9.14	states/eV per cell

***

# 2
# NiClF2

A geometry-optimized NiClF2 structure (PBE with a Hubbard U, the Alexandria database).

Unit cell a=3.221 b=5.305 c=8.194 alpha=83.56 beta=85.60 gamma=89.95
Space group P1 (No. 1)
Inequivalent atoms, fractional coordinates:
Ni 0.000 0.000 0.000 (multiplicity 1)
Ni 0.500 0.500 0.001 (multiplicity 1)
Cl 0.664 0.924 0.519 (multiplicity 1)
Cl 0.850 0.576 0.482 (multiplicity 1)
F 0.024 0.683 0.883 (multiplicity 1)
F 0.477 0.816 0.118 (multiplicity 1)
F 0.523 0.186 0.882 (multiplicity 1)
F 0.978 0.314 0.120 (multiplicity 1)

Calculated values
ΔE to the lowest computed polymorph	0.000	eV/atom
DOS at the Fermi energy	0.00	states/eV per cell

***

# 3
# Ni2ClF

A geometry-optimized Ni2ClF structure (PBE with a Hubbard U, the Alexandria database).

Unit cell a=5.755 b=5.755 c=5.755 alpha=90.00 beta=90.00 gamma=90.00
Space group Fm-3m (No. 225)
Inequivalent atoms, fractional coordinates:
Ni 0.250 0.250 0.250 (multiplicity 8)
Cl 0.000 0.000 0.000 (multiplicity 4)
F 0.000 0.000 0.500 (multiplicity 4)

Calculated values
ΔE to the lowest computed polymorph	0.859	eV/atom
DOS at the Fermi energy	13.87	states/eV per cell

***

Question: Number 1 is which compound?
Answer: NiCl2F2

***

Question: Which formula does entry 1 have?
Answer: NiCl2F2